# 1
The following is a DFT calculation (PBE-GGA) of crystalline K3Cd5I12 at its relaxed geometry.

Cell lengths 16.6311, 16.6311, 16.6311 Å; angles 109.47, 109.47, 109.47 degrees
Closest atoms and distances in Å follow each position.
Positions (direct):
K (0.1250, 0.2500, 0.3750)  8 I 3.73-3.81
K (0.1250, 0.3750, 0.7500)  8 I 3.73-3.81
K (0.2500, 0.3750, 0.1250)  8 I 3.73-3.81
K (0.2500, 0.8750, 0.6250)  8 I 3.73-3.81
K (0.3750, 0.1250, 0.2500)  8 I 3.73-3.81
K (0.3750, 0.7500, 0.1250)  8 I 3.73-3.81
K (0.6250, 0.2500, 0.8750)  8 I 3.73-3.81
K (0.6250, 0.8750, 0.7500)  8 I 3.73-3.81
K (0.7500, 0.1250, 0.3750)  8 I 3.73-3.81
K (0.7500, 0.6250, 0.8750)  8 I 3.73-3.81
K (0.8750, 0.6250, 0.2500)  8 I 3.73-3.81
K (0.8750, 0.7500, 0.6250)  8 I 3.73-3.81
Cd (0.0000, 0.0000, 0.0000)  6 I 3.10
Cd (0.0000, 0.0000, 0.5000)  6 I 3.10
Cd (0.0000, 0.5000, 0.0000)  6 I 3.10
Cd (0.0000, 0.5000, 0.5000)  6 I 3.10
Cd (0.1250, 0.7500, 0.8750)  4 I 2.87
Cd (0.1250, 0.8750, 0.2500)  4 I 2.87
Cd (0.2500, 0.1250, 0.8750)  4 I 2.87
Cd (0.2500, 0.6250, 0.3750)  4 I 2.87
Cd (0.3750, 0.2500, 0.6250)  4 I 2.87
Cd (0.3750, 0.6250, 0.7500)  4 I 2.87
Cd (0.5000, 0.0000, 0.0000)  6 I 3.10
Cd (0.5000, 0.0000, 0.5000)  6 I 3.10
Cd (0.5000, 0.5000, 0.0000)  6 I 3.10
Cd (0.5000, 0.5000, 0.5000)  6 I 3.10
Cd (0.6250, 0.3750, 0.2500)  4 I 2.87
Cd (0.6250, 0.7500, 0.3750)  4 I 2.87
Cd (0.7500, 0.3750, 0.6250)  4 I 2.87
Cd (0.7500, 0.8750, 0.1250)  4 I 2.87
Cd (0.8750, 0.1250, 0.7500)  4 I 2.87
Cd (0.8750, 0.2500, 0.1250)  4 I 2.87
I (0.0246, 0.2038, 0.1176)  2 Cd 2.87-3.10
I (0.0246, 0.3208, 0.9070)  2 Cd 2.87-3.10
I (0.0862, 0.7038, 0.6792)  2 Cd 2.87-3.10
I (0.0862, 0.8824, 0.4070)  2 Cd 2.87-3.10
I (0.0930, 0.6176, 0.4138)  2 Cd 2.87-3.10
I (0.0930, 0.9754, 0.6792)  2 Cd 2.87-3.10
I (0.1176, 0.0246, 0.2038)  2 Cd 2.87-3.10
I (0.1176, 0.5930, 0.9138)  2 Cd 2.87-3.10
I (0.1792, 0.2038, 0.5862)  2 Cd 2.87-3.10
I (0.1792, 0.4754, 0.5930)  2 Cd 2.87-3.10
I (0.2038, 0.1176, 0.0246)  2 Cd 2.87-3.10
I (0.2038, 0.5862, 0.1792)  2 Cd 2.87-3.10
I (0.2962, 0.3208, 0.9138)  2 Cd 2.87-3.10
I (0.2962, 0.4754, 0.3824)  2 Cd 2.87-3.10
I (0.3208, 0.9070, 0.0246)  2 Cd 2.87-3.10
I (0.3208, 0.9138, 0.2962)  2 Cd 2.87-3.10
I (0.3824, 0.2962, 0.4754)  2 Cd 2.87-3.10
I (0.3824, 0.5862, 0.9070)  2 Cd 2.87-3.10
I (0.4070, 0.0862, 0.8824)  2 Cd 2.87-3.10
I (0.4070, 0.8208, 0.5246)  2 Cd 2.87-3.10
I (0.4138, 0.0930, 0.6176)  2 Cd 2.87-3.10
I (0.4138, 0.8208, 0.7962)  2 Cd 2.87-3.10
I (0.4754, 0.3824, 0.2962)  2 Cd 2.87-3.10
I (0.4754, 0.5930, 0.1792)  2 Cd 2.87-3.10
I (0.5246, 0.4070, 0.8208)  2 Cd 2.87-3.10
I (0.5246, 0.6176, 0.7038)  2 Cd 2.87-3.10
I (0.5862, 0.1792, 0.2038)  2 Cd 2.87-3.10
I (0.5862, 0.9070, 0.3824)  2 Cd 2.87-3.10
I (0.5930, 0.1792, 0.4754)  2 Cd 2.87-3.10
I (0.5930, 0.9138, 0.1176)  2 Cd 2.87-3.10
I (0.6176, 0.4138, 0.0930)  2 Cd 2.87-3.10
I (0.6176, 0.7038, 0.5246)  2 Cd 2.87-3.10
I (0.6792, 0.0862, 0.7038)  2 Cd 2.87-3.10
I (0.6792, 0.0930, 0.9754)  2 Cd 2.87-3.10
I (0.7038, 0.5246, 0.6176)  2 Cd 2.87-3.10
I (0.7038, 0.6792, 0.0862)  2 Cd 2.87-3.10
I (0.7962, 0.4138, 0.8208)  2 Cd 2.87-3.10
I (0.7962, 0.8824, 0.9754)  2 Cd 2.87-3.10
I (0.8208, 0.5246, 0.4070)  2 Cd 2.87-3.10
I (0.8208, 0.7962, 0.4138)  2 Cd 2.87-3.10
I (0.8824, 0.4070, 0.0862)  2 Cd 2.87-3.10
I (0.8824, 0.9754, 0.7962)  2 Cd 2.87-3.10
I (0.9070, 0.0246, 0.3208)  2 Cd 2.87-3.10
I (0.9070, 0.3824, 0.5862)  2 Cd 2.87-3.10
I (0.9138, 0.1176, 0.5930)  2 Cd 2.87-3.10
I (0.9138, 0.2962, 0.3208)  2 Cd 2.87-3.10
I (0.9754, 0.6792, 0.0930)  2 Cd 2.87-3.10
I (0.9754, 0.7962, 0.8824)  2 Cd 2.87-3.10

# 2
The following is a DFT calculation (PBE-GGA) of crystalline K4Cd2I at its relaxed geometry.

Cell lengths 9.8211, 9.8211, 9.8211 Å; angles 139.14, 139.14, 59.16 degrees
Closest atoms and distances in Å follow each position.
Positions (direct):
K (0.0000, 0.5000, 0.5000)  2 I 3.43, 4 Cd 3.74
K (0.2039, 0.2039, 0.0000)  1 I 3.48, 1 Cd 3.56
K (0.5000, 0.0000, 0.5000)  2 I 3.43, 4 Cd 3.74
K (0.7961, 0.7961, 0.0000)  1 I 3.48, 1 Cd 3.56
Cd (0.4122, 0.4122, 0.0000)  1 Cd 3.00
Cd (0.5878, 0.5878, 0.0000)  1 Cd 3.00
I (0.0000, 0.0000, 0.0000)  6 K 3.43-3.48

# 3
The following is a DFT calculation (PBE-GGA) of crystalline K2Cd2I7 at its relaxed geometry.

Cell lengths 8.8209, 8.8209, 7.1664 Å; angles 94.78, 94.78, 94.04 degrees
Closest atoms and distances in Å follow each position.
Positions (direct):
K (0.2322, 0.7678, 0.0000)  6 I 3.63-3.64
K (0.7678, 0.2322, 0.0000)  6 I 3.63-3.64
Cd (0.2620, 0.2620, 0.5456)  4 I 2.79-2.92
Cd (0.7380, 0.7380, 0.4544)  4 I 2.79-2.92
I (0.0509, 0.4229, 0.7396)  1 Cd 2.81
I (0.1466, 0.1466, 0.1836)  1 Cd 2.79
I (0.4229, 0.0509, 0.7396)  1 Cd 2.81
I (0.5000, 0.5000, 0.5000)  2 Cd 2.92
I (0.5771, 0.9491, 0.2604)  1 Cd 2.81
I (0.8534, 0.8534, 0.8164)  1 Cd 2.79
I (0.9491, 0.5771, 0.2604)  1 Cd 2.81

no.,magnetic moment (Bohr magnetons per cell),energy (eV per cell)
1,0.000,-169.9
2,0.000,-9.9
3,0.008,-23.3